A plane-wave DFT calculation with GGA-PBE was carried out for an optimized crystal structure of DyTmMgAu.

Formation energy in eV per atom: -0.4147
SG: No. 216

POSCAR file:
```
DyTmMgAu
1.0
7.296 0.000 0.000
0.000 7.296 0.000
0.000 0.000 7.296
Dy Tm Mg Au
4 4 4 4
Direct
0.000 0.000 0.000 Dy
0.000 0.500 0.500 Dy
0.500 0.000 0.500 Dy
0.500 0.500 0.000 Dy
0.000 0.000 0.500 Tm
0.000 0.500 0.000 Tm
0.500 0.000 0.000 Tm
0.500 0.500 0.500 Tm
0.250 0.250 0.750 Mg
0.250 0.750 0.250 Mg
0.750 0.250 0.250 Mg
0.750 0.750 0.750 Mg
0.250 0.250 0.250 Au
0.250 0.750 0.750 Au
0.750 0.250 0.750 Au
0.750 0.750 0.250 Au
```


A plane-wave DFT calculation with GGA-PBE was carried out for an optimized crystal structure of DyYMgAu.

Formation energy in eV per atom: -0.4181
Polymorph energy (0 for the lowest one) in meV/atom: 58
SG: No. 216

POSCAR file:
```
DyYMgAu
1.0
7.353 0.000 0.000
0.000 7.353 0.000
0.000 0.000 7.353
Dy Y Mg Au
4 4 4 4
Direct
0.000 0.000 0.000 Dy
0.000 0.500 0.500 Dy
0.500 0.000 0.500 Dy
0.500 0.500 0.000 Dy
0.000 0.000 0.500 Y
0.000 0.500 0.000 Y
0.500 0.000 0.000 Y
0.500 0.500 0.500 Y
0.250 0.250 0.750 Mg
0.250 0.750 0.250 Mg
0.750 0.250 0.250 Mg
0.750 0.750 0.750 Mg
0.250 0.250 0.250 Au
0.250 0.750 0.750 Au
0.750 0.250 0.750 Au
0.750 0.750 0.250 Au
```


A plane-wave DFT calculation with GGA-PBE was carried out for an optimized crystal structure of DyYMgAu.

Formation energy in eV per atom: -0.4762
Polymorph energy (0 for the lowest one) in meV/atom: 0
SG: No. 99

POSCAR file:
```
DyYMgAu
1.0
3.705 0.000 0.000
0.000 3.705 0.000
0.000 0.000 7.289
Dy Y Mg Au
1 1 1 1
Direct
0.000 0.000 0.000 Dy
0.000 0.000 0.529 Y
0.500 0.500 0.264 Mg
0.500 0.500 0.770 Au
```


| no. | DFT total energy (eV per atom) | density of states at the Fermi level (states/eV/atom) |
| --- | --- | --- |
| 1 | -3.90 | 0.959 |
| 2 | -4.40 | 0.886 |
| 3 | -4.46 | 0.859 |